1.
DFT (GGA-PBE) results for crystalline LiPaAu at its relaxed geometry.

Results
**Theoretical density**: 9.611 Mg/m³
**Raw total energy**: -13.0 eV/f.u.

Unit cell a=6.699 b=6.699 c=6.699 alpha=90.00 beta=90.00 gamma=90.00
Space group F-43m (No. 216)
Unique sites:
Li 0.000 0.000 0.000 [4 per cell]
Pa 0.250 0.250 0.750 [4 per cell]
Au 0.000 0.000 0.500 [4 per cell]


2.
DFT (GGA-PBE) results for crystalline LiPbAu at its relaxed geometry.

Results
**Theoretical density**: 10.605 Mg/m³
**Raw total energy**: -9.8 eV/f.u.

Unit cell a=8.1054 b=8.1054 c=3.3943 alpha=90.00 beta=90.00 gamma=120.00
Space group P-62m (No. 189)
Unique sites:
Li 0.0000 0.6277 0.0000 [3 per cell]
Pb 0.0000 0.2975 0.5000 [3 per cell]
Au 0.0000 0.0000 0.0000 [1 per cell]
Au 0.3333 0.6667 0.5000 [2 per cell]


3.
DFT (GGA-PBE) results for crystalline Li2PbAu at its relaxed geometry.

Results
**Theoretical density**: 9.290 Mg/m³
**Raw total energy**: -12.4 eV/f.u.

Unit cell a=4.747 b=4.747 c=6.633 alpha=90.00 beta=90.00 gamma=90.00
Space group P-4m2 (No. 115)
Unique sites:
Li 0.000 0.000 0.000 [1 per cell]
Li 0.000 0.500 0.247 [2 per cell]
Li 0.500 0.500 0.500 [1 per cell]
Pb 0.000 0.500 0.750 [2 per cell]
Au 0.000 0.000 0.500 [1 per cell]
Au 0.500 0.500 0.000 [1 per cell]


4.
DFT (GGA-PBE) results for crystalline Li2PbAu at its relaxed geometry.

Results
**Theoretical density**: 9.312 Mg/m³
**Raw total energy**: -12.4 eV/f.u.

Unit cell a=6.681 b=6.681 c=6.681 alpha=90.00 beta=90.00 gamma=90.00
Space group F-43m (No. 216)
Unique sites:
Li 0.000 0.000 0.000 [4 per cell]
Li 0.250 0.250 0.250 [4 per cell]
Pb 0.000 0.000 0.500 [4 per cell]
Au 0.250 0.250 0.750 [4 per cell]


5.
DFT (GGA-PBE) results for crystalline Li8Pb2Au at its relaxed geometry.

Results
**Theoretical density**: 5.904 Mg/m³
**Raw total energy**: -29.6 eV/f.u.

Unit cell a=7.966 b=4.595 c=10.593 alpha=90.00 beta=104.67 gamma=90.00
Space group C2/m (No. 12)
Unique sites:
Li 0.085 0.000 0.255 [4 per cell]
Li 0.143 0.500 0.930 [4 per cell]
Li 0.176 0.000 0.528 [4 per cell]
Li 0.232 0.500 0.196 [4 per cell]
Pb 0.051 0.500 0.653 [4 per cell]
Au 0.000 0.000 0.000 [2 per cell]


6.
DFT (GGA-PBE) results for crystalline LiPbAu at its relaxed geometry.

Results
**Theoretical density**: 9.560 Mg/m³
**Raw total energy**: -9.7 eV/f.u.

Unit cell a=6.586 b=6.586 c=6.586 alpha=90.00 beta=90.00 gamma=90.00
Space group F-43m (No. 216)
Unique sites:
Li 0.000 0.000 0.000 [4 per cell]
Pb 0.000 0.000 0.500 [4 per cell]
Au 0.250 0.250 0.250 [4 per cell]


7.
DFT (GGA-PBE) results for crystalline Li3PbAu2 at its relaxed geometry.

Results
**Theoretical density**: 8.940 Mg/m³
**Raw total energy**: -18.3 eV/f.u.

Unit cell a=5.541 b=9.513 c=8.767 alpha=90.00 beta=90.00 gamma=90.00
Space group Fmm2 (No. 42)
Unique sites:
Li 0.000 0.000 0.000 [4 per cell]
Li 0.000 0.160 0.693 [8 per cell]
Pb 0.000 0.000 0.326 [4 per cell]
Au 0.250 0.250 0.450 [8 per cell]


8.
DFT (GGA-PBE) results for crystalline LiPbAuS3 at its relaxed geometry.

Results
**Theoretical density**: 6.495 Mg/m³
**Raw total energy**: -22.5 eV/f.u.

Unit cell a=3.838 b=11.807 c=11.447 alpha=90.00 beta=90.00 gamma=90.00
Space group Cmcm (No. 63)
Unique sites:
Li 0.000 0.227 0.250 [4 per cell]
Pb 0.000 0.000 0.000 [4 per cell]
Au 0.000 0.475 0.750 [4 per cell]
S 0.000 0.102 0.750 [4 per cell]
S 0.000 0.335 0.589 [8 per cell]


9.
DFT (GGA-PBE) results for crystalline LiTe2PbAuS at its relaxed geometry.

Results
**Theoretical density**: 7.078 Mg/m³
**Raw total energy**: -21.1 eV/f.u.

Unit cell a=4.378 b=14.226 c=10.524 alpha=90.00 beta=90.00 gamma=90.00
Space group Cmcm (No. 63)
Unique sites:
Li 0.000 0.231 0.250 [4 per cell]
Te 0.000 0.158 0.614 [8 per cell]
Pb 0.000 0.500 0.000 [4 per cell]
Au 0.000 0.030 0.250 [4 per cell]
S 0.000 0.396 0.750 [4 per cell]


10.
DFT (GGA-PBE) results for crystalline LiPbAuSe3 at its relaxed geometry.

Results
**Theoretical density**: 7.503 Mg/m³
**Raw total energy**: -21.2 eV/f.u.

Unit cell a=3.936 b=12.484 c=11.676 alpha=90.00 beta=90.00 gamma=90.00
Space group Cmcm (No. 63)
Unique sites:
Li 0.000 0.218 0.250 [4 per cell]
Pb 0.000 0.000 0.000 [4 per cell]
Au 0.000 0.467 0.750 [4 per cell]
Se 0.000 0.100 0.750 [4 per cell]
Se 0.000 0.327 0.582 [8 per cell]


11.
DFT (GGA-PBE) results for crystalline Li4SnPbAu2 at its relaxed geometry.

Results
**Theoretical density**: 8.641 Mg/m³
**Raw total energy**: -25.6 eV/f.u.

Unit cell a=4.673 b=4.673 c=6.579 alpha=90.00 beta=90.00 gamma=90.00
Space group P-4m2 (No. 115)
Unique sites:
Li 0.000 0.000 0.000 [1 per cell]
Li 0.000 0.500 0.746 [2 per cell]
Li 0.500 0.500 0.500 [1 per cell]
Sn 0.000 0.000 0.500 [1 per cell]
Pb 0.500 0.500 0.000 [1 per cell]
Au 0.000 0.500 0.265 [2 per cell]


12.
DFT (GGA-PBE) results for crystalline Li4ZnPbAu2 at its relaxed geometry.

Results
**Theoretical density**: 8.632 Mg/m³
**Raw total energy**: -22.5 eV/f.u.

Unit cell a=4.475 b=4.475 c=6.669 alpha=90.00 beta=90.00 gamma=90.00
Space group P-4m2 (No. 115)
Unique sites:
Li 0.000 0.000 0.000 [1 per cell]
Li 0.000 0.500 0.718 [2 per cell]
Li 0.500 0.500 0.500 [1 per cell]
Zn 0.000 0.000 0.500 [1 per cell]
Pb 0.500 0.500 0.000 [1 per cell]
Au 0.000 0.500 0.283 [2 per cell]


13.
DFT (GGA-PBE) results for crystalline Li4Zn2PbAu at its relaxed geometry.

Results
**Theoretical density**: 7.246 Mg/m³
**Raw total energy**: -19.9 eV/f.u.

Unit cell a=4.465 b=4.465 c=6.470 alpha=90.00 beta=90.00 gamma=90.00
Space group P-4m2 (No. 115)
Unique sites:
Li 0.000 0.000 0.000 [1 per cell]
Li 0.000 0.500 0.228 [2 per cell]
Li 0.500 0.500 0.500 [1 per cell]
Zn 0.000 0.500 0.773 [2 per cell]
Pb 0.000 0.000 0.500 [1 per cell]
Au 0.500 0.500 0.000 [1 per cell]


14.
DFT (GGA-PBE) results for crystalline LiPdAu at its relaxed geometry.

Results
**Theoretical density**: 10.679 Mg/m³
**E above lowest polymorph**: 253.2 meV per atom

Unit cell a=5.779 b=5.779 c=5.779 alpha=90.00 beta=90.00 gamma=90.00
Space group F-43m (No. 216)
Unique sites:
Li 0.000 0.000 0.000 [4 per cell]
Pd 0.250 0.250 0.250 [4 per cell]
Au 0.250 0.250 0.750 [4 per cell]


15.
DFT (GGA-PBE) results for crystalline LiPdAu at its relaxed geometry.

Results
**Theoretical density**: 11.023 Mg/m³
**E above lowest polymorph**: 0.0 meV per atom

Unit cell a=4.877 b=8.430 c=4.870 alpha=90.00 beta=110.94 gamma=90.00
Space group C2 (No. 5)
Unique sites:
Li 0.000 0.000 0.000 [2 per cell]
Li 0.000 0.332 0.000 [2 per cell]
Pd 0.000 0.163 0.500 [2 per cell]
Pd 0.000 0.830 0.500 [2 per cell]
Au 0.000 0.494 0.500 [2 per cell]
Au 0.000 0.670 0.000 [2 per cell]


16.
DFT (GGA-PBE) results for crystalline LiPdAuS3 at its relaxed geometry.

Results
**Theoretical density**: 6.067 Mg/m³
**Raw total energy**: -24.6 eV/f.u.

Unit cell a=3.566 b=12.952 c=9.636 alpha=90.00 beta=90.00 gamma=90.00
Space group Cmcm (No. 63)
Unique sites:
Li 0.000 0.188 0.250 [4 per cell]
Pd 0.000 0.500 0.000 [4 per cell]
Au 0.000 0.148 0.750 [4 per cell]
S 0.000 0.126 0.513 [8 per cell]
S 0.000 0.443 0.750 [4 per cell]


17.
DFT (GGA-PBE) results for crystalline LiPdAu3S4 at its relaxed geometry.

Results
**Theoretical density**: 7.179 Mg/m³
**Raw total energy**: -33.2 eV/f.u.

Unit cell a=5.775 b=5.775 c=5.775 alpha=90.00 beta=90.00 gamma=90.00
Space group P-43m (No. 215)
Unique sites:
Li 0.000 0.000 0.000 [1 per cell]
Pd 0.500 0.500 0.500 [1 per cell]
Au 0.000 0.500 0.500 [3 per cell]
S 0.246 0.246 0.246 [4 per cell]


18.
DFT (GGA-PBE) results for crystalline LiPdAuSeS2 at its relaxed geometry.

Results
**Theoretical density**: 6.407 Mg/m³
**Raw total energy**: -24.1 eV/f.u.

Unit cell a=3.465 b=13.582 c=9.989 alpha=90.00 beta=90.00 gamma=90.00
Space group Cmcm (No. 63)
Unique sites:
Li 0.000 0.203 0.250 [4 per cell]
Pd 0.000 0.500 0.000 [4 per cell]
Au 0.000 0.141 0.750 [4 per cell]
Se 0.000 0.440 0.750 [4 per cell]
S 0.000 0.123 0.519 [8 per cell]


19.
DFT (GGA-PBE) results for crystalline LiTePdAuS2 at its relaxed geometry.

Results
**Theoretical density**: 6.456 Mg/m³
**Raw total energy**: -23.7 eV/f.u.

Unit cell a=3.475 b=14.191 c=10.475 alpha=90.00 beta=90.00 gamma=90.00
Space group Cmcm (No. 63)
Unique sites:
Li 0.000 0.225 0.250 [4 per cell]
Te 0.000 0.431 0.750 [4 per cell]
Pd 0.000 0.500 0.000 [4 per cell]
Au 0.000 0.131 0.750 [4 per cell]
S 0.000 0.117 0.527 [8 per cell]


20.
DFT (GGA-PBE) results for crystalline LiPdAu3Se4 at its relaxed geometry.

Results
**Theoretical density**: 7.837 Mg/m³
**Raw total energy**: -31.5 eV/f.u.

Unit cell a=6.001 b=6.001 c=6.001 alpha=90.00 beta=90.00 gamma=90.00
Space group P-43m (No. 215)
Unique sites:
Li 0.000 0.000 0.000 [1 per cell]
Pd 0.500 0.500 0.500 [1 per cell]
Au 0.000 0.500 0.500 [3 per cell]
Se 0.246 0.246 0.246 [4 per cell]